[1]
Here is an optimized crystal structure of PmIn2IrO8 from the Alexandria database. Energies are from PBE.

For the density, the calculation gives 7.0 g/cm³. The formation energy without anion corrections is -1451 meV per atom.

The structure belongs to space group P2/m (No. 10); the cell edges are 4.953, 6.745 and 4.964 Å and the angles 90.00°, 90.52° and 90.00°. The distinct sites, in fractional coordinates, are Pm at (0.000, 0.000, 0.000), In at (0.500, 0.255, 0.500), Ir at (0.000, 0.500, 0.000), O at (0.190, 0.293, 0.814), O at (0.281, 0.500, 0.285) and O at (0.315, 0.000, 0.320).

***

[2]
Here is an optimized crystal structure of AcLa5Tm3 from the Alexandria database. Energies are from PBE.

For the density, the calculation gives 7.5 g/cm³. The calculation puts the formation energy at 0.7 eV/f.u.

The structure belongs to space group C2/c (No. 15); the cell edges are 15.471, 10.133 and 9.282 Å and the angles 90.00°, 119.12° and 90.00°. The distinct sites, in fractional coordinates, are Ac at (0.000, 0.099, 0.250), La at (0.000, 0.451, 0.250), La at (0.167, 0.115, 0.067), La at (0.178, 0.433, 0.110), Tm at (0.083, 0.245, 0.658) and Tm at (0.250, 0.250, 0.500).

***

[3]
Here is an optimized crystal structure of NpGeO from the Alexandria database. Energies are from PBE.

For the density, the calculation gives 10.0 g/cm³. The formation energy without anion corrections is -1628 meV per atom.

The structure belongs to space group R-3m (No. 166, hexagonal axes); the cell edges are 3.9220, 3.9220 and 24.4645 Å and the angles 90.00°, 90.00° and 120.00°. The distinct sites, in fractional coordinates, are Np at (0.0000, 0.0000, 0.1080), Ge at (0.0000, 0.0000, 0.3556) and O at (0.0000, 0.0000, 0.2014).